Tl3S: optimized geometry, PBE-GGA.

Properties
- Formation energy without anion corrections: -0.0920 eV/atom
- DOS(E_F): 1.993 states/eV/f.u.
- Theoretical density: 9.4 Mg/m³

Cell lengths 6.873, 6.873, 5.547 Å; angles 90.00, 90.00, 120.00 degrees
Element x y z (fractional)
Tl 0.174 0.348 0.250
Tl 0.174 0.826 0.250
Tl 0.348 0.174 0.750
Tl 0.652 0.826 0.250
Tl 0.826 0.174 0.750
Tl 0.826 0.652 0.750
S 0.333 0.667 0.750
S 0.667 0.333 0.250